A plane-wave DFT calculation with GGA-PBE was carried out for a relaxed structure of Gd3DySi4.

Lattice parameters (Å, degrees): 5.744 3.855 7.984 90.00 90.08 90.00
Element x y z (fractional)
Dy: 0.385 0.000 0.179
Gd: 0.885 0.500 0.320
Gd: 0.115 0.000 0.679
Gd: 0.615 0.500 0.821
Si: 0.872 0.000 0.038
Si: 0.373 0.500 0.461
Si: 0.627 0.000 0.537
Si: 0.128 0.500 0.963

Values from the calculation:
The crystal system is monoclinic. Its symmetry is No. 6. The total moment comes out at 0.00 μB per atom.

=====

A plane-wave DFT calculation with GGA-PBE was carried out for a relaxed structure of InGaW4C2.

Lattice parameters (Å, degrees): 3.105 3.105 13.596 90.00 90.00 120.00
Element x y z (fractional)
C: 0.333 0.667 0.240
C: 0.333 0.667 0.760
Ga: 0.000 0.000 0.000
In: 0.667 0.333 0.500
W: 0.667 0.333 0.154
W: 0.000 0.000 0.325
W: 0.000 0.000 0.675
W: 0.667 0.333 0.846

Values from the calculation:
The crystal system is hexagonal. Its symmetry is No. 187. The total moment comes out at 0.00 μB per atom.

=====

A plane-wave DFT calculation with GGA-PBE was carried out for a relaxed structure of CuPW4C2.

Lattice parameters (Å, degrees): 3.127 3.127 12.233 90.00 90.00 120.00
Element x y z (fractional)
C: 0.667 0.333 0.245
C: 0.667 0.333 0.755
Cu: 0.000 0.000 0.500
P: 0.333 0.667 0.000
W: 0.000 0.000 0.145
W: 0.333 0.667 0.332
W: 0.333 0.667 0.668
W: 0.000 0.000 0.855

Values from the calculation:
The crystal system is hexagonal. Its symmetry is No. 187. The total moment comes out at 0.00 μB per atom.

=====

A plane-wave DFT calculation with GGA-PBE was carried out for a relaxed structure of Li3TcO4.

Lattice parameters (Å, degrees): 3.970 6.902 5.919 90.00 90.00 90.00
Element x y z (fractional)
Li: 0.500 0.500 0.181
Li: 0.000 0.261 0.337
Li: 0.000 0.739 0.337
Li: 0.500 0.239 0.663
Li: 0.500 0.761 0.663
Li: 0.000 0.000 0.819
O: 0.000 0.500 0.149
O: 0.000 0.000 0.165
O: 0.500 0.232 0.325
O: 0.500 0.768 0.325
O: 0.000 0.268 0.675
O: 0.000 0.732 0.675
O: 0.500 0.500 0.835
O: 0.500 0.000 0.851
Tc: 0.500 0.000 0.165
Tc: 0.000 0.500 0.835

Values from the calculation:
The crystal system is orthorhombic. Its symmetry is No. 59. The total moment comes out at 0.00 μB per atom.

=====

A plane-wave DFT calculation with GGA-PBE was carried out for a relaxed structure of Rb2HoTmO4.

Lattice parameters (Å, degrees): 3.419 3.419 12.869 90.00 90.00 120.00
Element x y z (fractional)
Ho: 0.000 0.000 0.000
O: 0.333 0.667 0.090
O: 0.333 0.667 0.413
O: 0.667 0.333 0.587
O: 0.667 0.333 0.910
Rb: 0.667 0.333 0.250
Rb: 0.333 0.667 0.750
Tm: 0.000 0.000 0.500

Values from the calculation:
The crystal system is trigonal. Its symmetry is No. 164. The total moment comes out at 0.00 μB per atom.

=====

A plane-wave DFT calculation with GGA-PBE was carried out for a relaxed structure of Cu2Ag3.

Lattice parameters (Å, degrees): 2.852 3.682 14.861 90.00 90.00 90.00
Element x y z (fractional)
Ag: 0.000 0.000 0.000
Ag: 0.500 0.500 0.275
Ag: 0.000 0.000 0.387
Ag: 0.500 0.500 0.500
Ag: 0.000 0.000 0.613
Ag: 0.500 0.500 0.725
Cu: 0.500 0.500 0.096
Cu: 0.000 0.000 0.179
Cu: 0.000 0.000 0.821
Cu: 0.500 0.500 0.904

Values from the calculation:
The crystal system is orthorhombic. Its symmetry is No. 47.

=====

For the records above, the corresponding final energy values read -5.859 -9.338 -9.765 -6.282 -6.570 -3.103 eV per atom.